1.
Material: Al3Sn12Hg5
Method: DFT, PBE
State: relaxed

POSCAR file:
```
Al3Sn12Hg5
1.0
14.7525 0.0000 0.0000
-4.9175 13.9088 0.0000
-4.9175 -6.9544 12.0454
Sn Al Hg
48 12 20
direct
0.0683 0.6356 0.7331
0.0673 0.9025 0.1356
0.8644 0.5975 0.9327
0.9025 0.0673 0.6356
0.4025 0.1356 0.5673
0.8644 0.2669 0.4317
0.5673 0.6356 0.4025
0.1356 0.4025 0.0673
0.2331 0.5683 0.6356
0.0673 0.1647 0.4317
0.0975 0.9327 0.3644
0.6356 0.5673 0.9025
0.2669 0.8644 0.9317
0.6356 0.0683 0.2331
0.8353 0.9327 0.0683
0.4317 0.7669 0.8644
0.3353 0.7669 0.4025
0.7331 0.5975 0.1647
0.7331 0.1356 0.0683
0.6647 0.4317 0.5673
0.3353 0.5683 0.4327
0.2331 0.6647 0.0975
0.7669 0.3353 0.9025
0.5673 0.9317 0.6647
0.9327 0.0975 0.8644
0.2669 0.4025 0.8353
0.1647 0.0975 0.7331
0.9327 0.8353 0.5683
0.1356 0.7331 0.5683
0.9317 0.5673 0.1647
0.5975 0.7331 0.6647
0.3644 0.4327 0.0975
0.8353 0.9025 0.2669
0.4025 0.2669 0.3353
0.0975 0.1647 0.2331
0.4327 0.3644 0.5975
0.7669 0.4317 0.3644
0.6647 0.2331 0.5975
0.5975 0.8644 0.4327
0.4317 0.6647 0.0673
0.3644 0.9317 0.7669
0.0683 0.4327 0.8353
0.1647 0.0673 0.9317
0.9317 0.3644 0.2669
0.9025 0.8353 0.7669
0.5683 0.2331 0.1356
0.4327 0.0683 0.3353
0.5683 0.3353 0.9327
0.2500 0.6250 0.8750
0.2500 0.1250 0.3750
0.8750 0.7500 0.1250
0.3750 0.6250 0.2500
0.6250 0.2500 0.3750
0.6250 0.3750 0.7500
0.8750 0.1250 0.2500
0.1250 0.2500 0.8750
0.3750 0.7500 0.6250
0.1250 0.8750 0.7500
0.7500 0.3750 0.1250
0.7500 0.8750 0.6250
0.5000 0.5000 0.5000
0.6250 0.7500 0.8750
0.3750 0.2500 0.1250
0.5000 0.5000 0.0000
0.2500 0.3750 0.6250
0.8750 0.2500 0.6250
0.7500 0.6250 0.3750
0.5000 0.0000 0.0000
0.0000 0.0000 0.5000
0.8750 0.6250 0.7500
0.6250 0.8750 0.2500
0.2500 0.8750 0.1250
0.0000 0.5000 0.0000
0.5000 0.0000 0.5000
0.1250 0.7500 0.3750
0.7500 0.1250 0.8750
0.3750 0.1250 0.7500
0.1250 0.3750 0.2500
0.0000 0.0000 0.0000
0.0000 0.5000 0.5000
```

Properties
**DFT formation energy**: 0.18 eV per atom

---

2.
Material: Sr2LaAl
Method: DFT, PBE
State: relaxed

POSCAR file:
```
Sr2LaAl
1.0
12.0858 0.0158 0.0093
11.4574 3.8466 0.0093
11.4574 1.8797 3.3561
Sr La Al
2 1 1
direct
0.5122 0.5122 0.5122
0.9878 0.9878 0.9878
0.7500 0.7500 0.7500
0.2500 0.2500 0.2500
```

Properties
**DFT formation energy**: 0.15 eV per atom